First-principles (GGA-PBE) data for a relaxed structure of Tb3Tm2Tl4, as listed in Alexandria.

Cell lengths 8.510, 8.510, 9.692 Å; angles 90.00, 90.00, 130.26 degrees
Fractional positions:
Tb1 0.000 0.000 0.000
Tb2 0.037 0.463 0.250
Tb3 0.463 0.037 0.750
Tb4 0.500 0.500 0.500
Tb5 0.537 0.963 0.250
Tb6 0.963 0.537 0.750
Tm1 0.107 0.893 0.449
Tm2 0.393 0.607 0.949
Tm3 0.607 0.393 0.051
Tm4 0.893 0.107 0.551
Tl1 0.196 0.804 0.027
Tl2 0.243 0.257 0.250
Tl3 0.257 0.243 0.750
Tl4 0.304 0.696 0.527
Tl5 0.696 0.304 0.473
Tl6 0.743 0.757 0.250
Tl7 0.757 0.743 0.750
Tl8 0.804 0.196 0.973

Results
SG	No. 64
formation energy from the elements	-165	meV/atom